1.
Compound: MgMo
Source: the Alexandria database
Functional: PBE
Structure: optimized geometry

```
4
Lattice="4.6443 0.0000 0.0000 0.0000 2.7593 0.0000 0.0000 0.0000 5.4130" Properties=species:S:1:pos:R:3 pbc="T T T"
Mg 1.1611 0.0000 0.7572
Mg 3.4832 0.0000 4.6558
Mo 1.1611 1.3796 3.3424
Mo 3.4832 1.3796 2.0706
```

Calculated values
total DFT energy (no corrections) = -0.4331 Ry per atom
symmetry = Pmma
ΔE to the lowest computed polymorph = 134.3 meV/atom
size of the total moment = 0.000 μB per formula unit
formation enthalpy at 0 K = 0.64 eV per formula unit

2.
Compound: MgMo
Source: the Alexandria database
Functional: PBE
Structure: optimized geometry

```
8
Lattice="-5.8204 5.8204 1.5244 5.8204 -5.8204 1.5244 5.8204 5.8204 -1.5244" Properties=species:S:1:pos:R:3 pbc="T T T"
Mg 2.0983 0.4945 0.0000
Mg 5.3259 -3.7221 1.5244
Mg 0.4945 9.5424 0.0000
Mg 3.7221 5.3259 1.5244
Mo 8.2848 2.1268 0.0000
Mo 2.1268 3.3560 0.0000
Mo 3.6936 2.4644 1.5244
Mo -2.4644 3.6936 1.5244
```

Calculated values
total DFT energy (no corrections) = -0.3905 Ry per atom
symmetry = I4/m
ΔE to the lowest computed polymorph = 714.0 meV/atom
size of the total moment = 0.000 μB per formula unit
formation enthalpy at 0 K = 1.80 eV per formula unit